This record from the Alexandria database describes a relaxed structure of K2YPtO6. The functional is PBE-GGA.

Cell lengths 5.930, 5.930, 5.930 Å; angles 60.00, 60.00, 60.00 degrees
Atoms (fractional coordinates):
K  0.250  0.250  0.250
K  0.750  0.750  0.750
Y  0.000  0.000  0.000
Pt  0.500  0.500  0.500
O  0.267  0.267  0.733
O  0.267  0.733  0.267
O  0.267  0.733  0.733
O  0.733  0.267  0.267
O  0.733  0.267  0.733
O  0.733  0.733  0.267

ΔE_f (raw) = -1.46 eV/atom
Symmetry = No. 225
V = 14.7 A^3/atom